# MnCdFe2 (SCAN, PBEsol geometry)
# - Density: 8.64 g/cm3
# - Volume: 53.6 Å³ per cell
# - SG: No. 216
# - E_form: 201 meV/atom
data_MnCdFe2
_cell_length_a 4.2328
_cell_length_b 4.2328
_cell_length_c 4.2328
_cell_angle_alpha 60.00
_cell_angle_beta 60.00
_cell_angle_gamma 60.00
_space_group_name_H-M_alt 'P 1'
_space_group_IT_number 1
_space_group_name_Hall 'P 1'
loop_
_atom_site_label
_atom_site_fract_x
_atom_site_fract_y
_atom_site_fract_z
Cd1 0.5000 0.5000 0.5000
Fe1 0.0000 0.0000 0.0000
Fe2 0.7500 0.7500 0.7500
Mn1 0.2500 0.2500 0.2500